Entry 1:
A relaxed structure of SrLi4TlIn2. Source: Alexandria via LeMat-Bulk, functional GGA-PBE.

Geometry as extended XYZ:
```
8
Lattice="-4.421 0.565 1.996 -4.007 -0.675 -2.709 -2.890 -8.826 2.072" Properties=species:S:1:pos:R:3 pbc="T T T"
Li -8.460 -3.601 0.204
Li -5.682 -7.067 1.362
Li -5.635 -1.870 -0.004
Li -2.858 -5.336 1.155
Sr 0.000 0.000 0.000
In -8.488 -6.679 1.013
In -2.830 -2.258 0.346
Tl -5.659 -4.468 0.679
```

Output
Fermi-level density of states = 0.498 states/eV/atom
symmetry = R-3m, No. 166
calculated formation energy = -0.242 eV/atom
M_tot = 0.000 μB/atom


Entry 2:
A relaxed structure of GdMg2Ag. Source: Alexandria via LeMat-Bulk, functional GGA-PBE.

Geometry as extended XYZ:
```
4
Lattice="4.947 0.000 0.000 0.000 4.394 0.000 0.000 0.000 4.394" Properties=species:S:1:pos:R:3 pbc="T T T"
Mg 0.000 0.000 2.197
Gd 2.474 2.197 2.197
Mg 0.000 2.197 0.000
Ag 2.474 0.000 0.000
```

Output
Fermi-level density of states = 1.005 states/eV/atom
symmetry = P4/mmm, No. 123
calculated formation energy = -0.104 eV/atom
M_tot = 1.862 μB/atom


Entry 3:
A relaxed structure of Tl3In4Sn2. Source: Alexandria via LeMat-Bulk, functional GGA-PBE.

Geometry as extended XYZ:
```
9
Lattice="5.283 -0.019 -0.017 -2.741 5.600 -1.665 0.120 -2.702 9.806" Properties=species:S:1:pos:R:3 pbc="T T T"
In 2.597 2.091 -0.374
Tl -0.016 2.892 2.040
Tl 2.679 -0.012 6.085
In 0.043 -0.151 3.860
Sn 2.677 0.484 2.315
Sn -0.014 2.396 5.810
Tl 0.000 0.000 0.000
In 0.066 0.789 8.498
In 2.619 3.030 4.265
```

Output
Fermi-level density of states = 0.500 states/eV/atom
symmetry = P-1, No. 2
calculated formation energy = 0.022 eV/atom
M_tot = 0.000 μB/atom


Question: Which value of calculated formation energy does entry 2 give?
Answer: -0.104 eV/atom


Question: What is the Fermi-level density of states in the third record?
Answer: 0.500 states/eV/atom